The following is a DFT calculation (PBE) of an optimized crystal structure of Nd4Sm3In.

Cell and atoms, written as POSCAR:
```
Nd4Sm3In
1.0
10.1486 0.0000 0.0000
0.0000 7.1161 0.0000
0.0000 0.0000 7.1982
Nd Sm In
8 6 2
Cartesian
0.0000 0.0070 0.0027 Nd
0.0000 3.5542 3.5991 Nd
2.5307 5.2940 5.4003 Nd
2.5437 1.8221 1.8012 Nd
5.0743 3.5618 0.0000 Nd
5.0743 7.1091 3.6018 Nd
7.6050 1.8221 1.8012 Nd
7.6180 5.2940 5.4003 Nd
0.0000 0.0014 3.5991 Sm
2.5392 1.8458 5.4000 Sm
2.5351 5.2703 1.8009 Sm
5.0743 7.1147 0.0000 Sm
7.6094 1.8458 5.4000 Sm
7.6135 5.2703 1.8009 Sm
0.0000 3.5580 0.0035 In
5.0743 3.5581 3.6026 In
```

Computed properties:
DOS(E_F): 11.33 states/eV/f.u.
total moment: 0.00 μB per cell
offset from the most stable computed form: 16.3 meV per atom
DFT formation energy: -83 meV per atom

---

The following is a DFT calculation (PBE) of an optimized crystal structure of LaHg2Os.

Cell and atoms, written as POSCAR:
```
LaHg2Os
1.0
0.0000 3.5671 3.5671
3.5671 0.0000 3.5671
3.5671 3.5671 0.0000
La Hg Os
1 2 1
Cartesian
0.0000 0.0000 0.0000 La
1.7835 1.7835 1.7835 Hg
5.3506 5.3506 5.3506 Hg
3.5671 3.5671 3.5671 Os
```

Computed properties:
DOS(E_F): 6.80 states/eV/f.u.
total moment: 0.55 μB per cell
DFT formation energy: 335 meV per atom

---

The following is a DFT calculation (PBE) of an optimized crystal structure of RbLi2PmI6.

Cell and atoms, written as POSCAR:
```
RbLi2PmI6
1.0
7.9826 0.0000 0.0000
-3.9860 6.9164 0.0000
-3.9908 -2.3018 7.3141
Rb Li Pm I
1 2 1 6
Cartesian
0.0000 0.0000 0.0000 Rb
0.0002 0.0066 6.2884 Li
-0.0009 4.6098 2.8226 Li
3.9951 2.3080 3.1589 Pm
-2.5778 -0.0687 4.6144 I
-1.7224 2.9247 1.0828 I
-2.6336 4.7200 4.6126 I
3.3936 0.0366 1.0861 I
2.3272 3.9618 1.0843 I
1.2294 2.2759 4.6131 I
```

Computed properties:
DOS(E_F): 0.00 states/eV/f.u.
total moment: 0.00 μB per cell
uncorrected energy: -3.20 eV/atom